# Ac4La15Ho

A relaxed Ac4La15Ho crystal (GGA-PBE, Alexandria).

```
20
Lattice="5.336 0.000 0.000 0.000 5.336 0.000 0.000 0.000 26.645" Properties=species:S:1:pos:R:3 pbc="T T T"
Ac 0.000 0.000 2.686
Ac 0.000 0.000 8.059
Ac 0.000 0.000 18.586
Ac 0.000 0.000 23.959
La 0.000 2.668 0.000
La 0.000 2.668 5.365
La 0.000 2.668 10.769
La 0.000 2.668 15.876
La 0.000 2.668 21.280
La 2.668 0.000 0.000
La 2.668 0.000 5.365
La 2.668 0.000 10.769
La 2.668 0.000 15.876
La 2.668 0.000 21.280
La 2.668 2.668 2.693
La 2.668 2.668 8.104
La 2.668 2.668 13.322
La 2.668 2.668 18.541
La 2.668 2.668 23.952
Ho 0.000 0.000 13.322
```

Properties
Formation enthalpy at 0 K: 0.36 eV/f.u.
Magnetic moment: 0.000 Bohr magnetons per cell
Space-group type: P4/mmm, No. 123

***

# Th4FePd

A relaxed Th4FePd crystal (GGA-PBE, Alexandria).

```
12
Lattice="7.150 0.000 0.000 0.000 7.150 0.000 0.000 0.000 5.971" Properties=species:S:1:pos:R:3 pbc="T T T"
Th 1.107 2.281 0.000
Th 1.107 4.869 2.985
Th 2.281 1.107 2.985
Th 2.281 6.044 0.000
Th 4.869 1.107 0.000
Th 4.869 6.044 2.985
Th 6.044 2.281 2.985
Th 6.044 4.869 0.000
Fe 0.000 0.000 1.493
Fe 0.000 0.000 4.478
Pd 3.575 3.575 1.493
Pd 3.575 3.575 4.478
```

Properties
Formation enthalpy at 0 K: -1.72 eV/f.u.
Magnetic moment: 0.001 Bohr magnetons per cell
Space-group type: P4/mcc, No. 124

***

# Ce2BeCo3Ge4

A relaxed Ce2BeCo3Ge4 crystal (GGA-PBE, Alexandria).

```
10
Lattice="4.083 0.000 0.000 0.000 4.083 0.000 0.000 0.000 9.685" Properties=species:S:1:pos:R:3 pbc="T T T"
Ce 0.000 2.042 2.424
Ce 2.042 0.000 7.261
Be 0.000 0.000 4.842
Co 0.000 2.042 8.451
Co 2.042 0.000 1.234
Co 2.042 2.042 4.842
Ge 0.000 0.000 0.000
Ge 0.000 2.042 6.100
Ge 2.042 0.000 3.585
Ge 2.042 2.042 0.000
```

Properties
Formation enthalpy at 0 K: -5.39 eV/f.u.
Magnetic moment: 0.409 Bohr magnetons per cell
Space-group type: P-4m2, No. 115

***

# Li2AcCd8

A relaxed Li2AcCd8 crystal (GGA-PBE, Alexandria).

```
11
Lattice="7.367 0.000 0.000 0.000 7.367 0.000 0.000 0.000 5.771" Properties=species:S:1:pos:R:3 pbc="T T T"
Li 0.000 3.683 0.000
Li 3.683 0.000 0.000
Ac 0.000 0.000 2.886
Cd 2.175 2.175 1.435
Cd 2.175 2.175 4.336
Cd 2.175 5.192 1.435
Cd 2.175 5.192 4.336
Cd 5.192 2.175 1.435
Cd 5.192 2.175 4.336
Cd 5.192 5.192 1.435
Cd 5.192 5.192 4.336
```

Properties
Formation enthalpy at 0 K: 0.27 eV/f.u.
Magnetic moment: 0.000 Bohr magnetons per cell
Space-group type: P4/mmm, No. 123

***

What is the formation enthalpy at 0 K in the third record?
-5.39 eV/f.u.